No. 1
16
Lattice="8.3578 0.0000 0.0000 0.0000 8.9894 0.4346 -4.1789 -4.1757 5.9145" Properties=species:S:1:pos:R:3 comment="PBE-GGA La8IrOs3Cl4, relaxed" dos_at_fermi_per_ev_atom=0.660 raw_formation_energy_ev_per_atom=-1.0300 sg="R-3m, No. 166" e_tot_ev_per_atom=-6.61 pbc="T T T"
La -2.0590 2.2830 6.0241
La 0.0000 4.3426 3.1073
La 0.0000 0.4420 3.2590
La 2.0590 2.2830 6.0241
La 2.1199 2.5307 0.3250
La 4.1789 4.3717 3.0901
La 4.1789 0.4711 3.2418
La 6.2379 2.5307 0.3250
Ir 0.0000 4.4947 0.2173
Os 4.1789 4.4947 0.2173
Os 2.0895 2.4069 3.1745
Os -2.0895 2.4069 3.1745
Cl 4.1789 0.0000 0.0000
Cl 2.0895 -2.0879 2.9572
Cl 0.0000 0.0000 0.0000
Cl -2.0895 -2.0879 2.9572


No. 2
12
Lattice="-5.4316 -3.6686 3.0653 6.0669 1.2732 3.7321 -3.1739 7.3420 0.3194" Properties=species:S:1:pos:R:3 comment="PBE-GGA La6Ir2OsCl3, relaxed" dos_at_fermi_per_ev_atom=0.336 raw_formation_energy_ev_per_atom=-1.2111 sg="C2/m, No. 12" e_tot_ev_per_atom=-6.55 pbc="T T T"
La -3.9283 3.1946 5.3642
La -0.1772 -0.2745 5.0900
La 1.3897 1.7520 1.7526
La -0.1502 4.8183 5.5833
La -2.3614 5.2211 2.0268
La -2.3883 0.1283 1.5335
Ir 2.2363 -0.3731 3.5099
Ir -1.6010 -2.0223 3.2874
Os 0.0000 0.0000 0.0000
Cl 2.5945 4.1338 3.7825
Cl -5.1331 0.8127 3.3343
Cl -1.2693 2.4733 3.5584


No. 3
16
Lattice="8.3593 0.0000 0.0000 0.0000 9.0478 0.4731 -4.1797 -4.1709 5.9169" Properties=species:S:1:pos:R:3 comment="PBE-GGA La8Ir3OsCl4, relaxed" dos_at_fermi_per_ev_atom=0.311 raw_formation_energy_ev_per_atom=-1.2659 sg="C2/m, No. 12" e_tot_ev_per_atom=-6.55 pbc="T T T"
La -2.1136 2.3128 6.0872
La 0.0000 4.4239 3.0785
La 0.0000 0.4886 3.2857
La 2.1136 2.3128 6.0872
La 2.0661 2.5642 0.3027
La 4.1797 4.3883 3.1042
La 4.1797 0.4530 3.3115
La 6.2932 2.5642 0.3027
Ir 4.1797 4.5239 0.2365
Ir 2.0898 2.4385 3.1950
Ir -2.0898 2.4385 3.1950
Os 0.0000 4.5239 0.2365
Cl 4.1797 0.0000 0.0000
Cl 2.0898 -2.0855 2.9584
Cl 0.0000 0.0000 0.0000
Cl -2.0898 -2.0855 2.9584


No. 4
12
Lattice="7.2345 -0.0019 0.0000 -3.6171 6.2653 0.0000 -1.2064 -2.0889 7.6013" Properties=species:S:1:pos:R:3 comment="PBE-GGA La6IrOs2Cl3, relaxed" dos_at_fermi_per_ev_atom=0.563 raw_formation_energy_ev_per_atom=-1.0655 sg="C2/m, No. 12" e_tot_ev_per_atom=-6.60 pbc="T T T"
La 3.6343 2.0563 6.0516
La 2.3934 4.1441 1.5513
La -1.2234 2.1182 1.5497
La -0.0351 4.1756 6.0516
La 0.0176 0.0304 6.0500
La 2.4461 -0.0011 1.5497
Ir 0.0000 0.0000 0.0000
Os 0.0023 4.1750 0.0000
Os 3.6151 2.0885 0.0000
Cl -2.3881 4.1627 3.8007
Cl 4.7990 0.0118 3.8007
Cl 1.2055 2.0873 3.8007


Please write out number 1 again, unchanged.
16
Lattice="8.3578 0.0000 0.0000 0.0000 8.9894 0.4346 -4.1789 -4.1757 5.9145" Properties=species:S:1:pos:R:3 comment="PBE-GGA La8IrOs3Cl4, relaxed" dos_at_fermi_per_ev_atom=0.660 raw_formation_energy_ev_per_atom=-1.0300 sg="R-3m, No. 166" e_tot_ev_per_atom=-6.61 pbc="T T T"
La -2.0590 2.2830 6.0241
La 0.0000 4.3426 3.1073
La 0.0000 0.4420 3.2590
La 2.0590 2.2830 6.0241
La 2.1199 2.5307 0.3250
La 4.1789 4.3717 3.0901
La 4.1789 0.4711 3.2418
La 6.2379 2.5307 0.3250
Ir 0.0000 4.4947 0.2173
Os 4.1789 4.4947 0.2173
Os 2.0895 2.4069 3.1745
Os -2.0895 2.4069 3.1745
Cl 4.1789 0.0000 0.0000
Cl 2.0895 -2.0879 2.9572
Cl 0.0000 0.0000 0.0000
Cl -2.0895 -2.0879 2.9572